# 1
Material: LaFe9Si4
Method: DFT, PBE-GGA
State: relaxed

a = 7.9801 Å, b = 7.9801 Å, c = 7.9801 Å
α = 121.33°, β = 121.33°, γ = 87.71°
Closest atoms and distances in Å follow each position.
Element x y z (fractional)
La1 0.2500 0.2500 0.0000  16 Fe 3.20-3.32, 8 Si 3.26
La2 0.7500 0.7500 0.0000  16 Fe 3.20-3.32, 8 Si 3.26
Fe1 0.0000 0.5000 0.5000  4 Si 2.35, 8 Fe 2.40-2.48
Fe2 0.0565 0.5565 0.2536  4 Si 2.37-2.44, 5 Fe 2.48-2.52
Fe3 0.0668 0.7996 0.8664  6 Fe 2.34-2.57, 4 Si 2.47-2.53
Fe4 0.1971 0.9435 0.5000  4 Si 2.37-2.44, 5 Fe 2.48-2.52
Fe5 0.2004 0.0668 0.2673  6 Fe 2.34-2.57, 4 Si 2.47-2.53
Fe6 0.2996 0.5668 0.8664  6 Fe 2.34-2.57, 4 Si 2.47-2.53
Fe7 0.3029 0.8029 0.7464  4 Si 2.37-2.44, 5 Fe 2.48-2.52
Fe8 0.4332 0.2996 0.7327  6 Fe 2.34-2.57, 4 Si 2.47-2.53
Fe9 0.4435 0.6971 0.5000  4 Si 2.37-2.44, 5 Fe 2.48-2.52
Fe10 0.5000 0.0000 0.5000  4 Si 2.35, 8 Fe 2.40-2.48
Fe11 0.5565 0.3029 0.5000  4 Si 2.37-2.44, 5 Fe 2.48-2.52
Fe12 0.5668 0.7004 0.2673  6 Fe 2.34-2.57, 4 Si 2.47-2.53
Fe13 0.6971 0.1971 0.2536  4 Si 2.37-2.44, 5 Fe 2.48-2.52
Fe14 0.7004 0.4332 0.1336  6 Fe 2.34-2.57, 4 Si 2.47-2.53
Fe15 0.7996 0.9332 0.7327  6 Fe 2.34-2.57, 4 Si 2.47-2.53
Fe16 0.8029 0.0565 0.5000  4 Si 2.37-2.44, 5 Fe 2.48-2.52
Fe17 0.9332 0.2004 0.1336  6 Fe 2.34-2.57, 4 Si 2.47-2.53
Fe18 0.9435 0.4435 0.7464  4 Si 2.37-2.44, 5 Fe 2.48-2.52
Si1 0.0521 0.2080 0.5000  9 Fe 2.35-2.53
Si2 0.2080 0.7080 0.1559  9 Fe 2.35-2.53
Si3 0.2920 0.4479 0.5000  9 Fe 2.35-2.53
Si4 0.4479 0.9479 0.1559  9 Fe 2.35-2.53
Si5 0.5521 0.0521 0.8441  9 Fe 2.35-2.53
Si6 0.7080 0.5521 0.5000  9 Fe 2.35-2.53
Si7 0.7920 0.2920 0.8441  9 Fe 2.35-2.53
Si8 0.9479 0.7920 0.5000  9 Fe 2.35-2.53

## Properties
E	-7.63	eV per atom
SG	No. 140


# 2
Material: NaNbMoW
Method: DFT, PBE-GGA
State: relaxed

a = 6.4975 Å, b = 6.4975 Å, c = 6.4975 Å
α = 90.00°, β = 90.00°, γ = 90.00°
Closest atoms and distances in Å follow each position.
Element x y z (fractional)
Na1 0.0000 0.0000 0.0000  4 Nb 2.81, 4 Mo 2.81
Na2 0.0000 0.5000 0.5000  4 Nb 2.81, 4 Mo 2.81
Na3 0.5000 0.0000 0.5000  4 Nb 2.81, 4 Mo 2.81
Na4 0.5000 0.5000 0.0000  4 Nb 2.81, 4 Mo 2.81
Nb1 0.2500 0.2500 0.2500  4 W 2.81, 4 Na 2.81
Nb2 0.2500 0.7500 0.7500  4 W 2.81, 4 Na 2.81
Nb3 0.7500 0.2500 0.7500  4 W 2.81, 4 Na 2.81
Nb4 0.7500 0.7500 0.2500  4 W 2.81, 4 Na 2.81
Mo1 0.2500 0.2500 0.7500  4 W 2.81, 4 Na 2.81
Mo2 0.2500 0.7500 0.2500  4 W 2.81, 4 Na 2.81
Mo3 0.7500 0.2500 0.2500  4 W 2.81, 4 Na 2.81
Mo4 0.7500 0.7500 0.7500  4 W 2.81, 4 Na 2.81
W1 0.0000 0.0000 0.5000  4 Mo 2.81, 4 Nb 2.81
W2 0.0000 0.5000 0.0000  4 Mo 2.81, 4 Nb 2.81
W3 0.5000 0.0000 0.0000  4 Mo 2.81, 4 Nb 2.81
W4 0.5000 0.5000 0.5000  4 Nb 2.81, 4 Mo 2.81

## Properties
E above lowest polymorph	0.0000	eV per atom
SG	No. 216


# 3
Material: Li4TlZn2Pb
Method: DFT, PBE-GGA
State: relaxed

a = 4.6369 Å, b = 4.6369 Å, c = 6.5713 Å
α = 90.00°, β = 90.00°, γ = 90.00°
Closest atoms and distances in Å follow each position.
Element x y z (fractional)
Li1 0.0000 0.0000 0.0000  4 Zn 2.81, 4 Li 2.82
Li2 0.0000 0.5000 0.2450  2 Tl 2.82, 4 Li 2.82-2.86, 2 Pb 2.86
Li3 0.5000 0.0000 0.7550  2 Tl 2.82, 4 Li 2.82-2.86, 2 Pb 2.86
Li4 0.5000 0.5000 0.5000  4 Li 2.86, 4 Zn 2.87
Tl1 0.5000 0.5000 0.0000  4 Zn 2.81, 4 Li 2.82
Zn1 0.0000 0.5000 0.7585  2 Tl 2.81, 4 Li 2.81-2.87, 2 Pb 2.87
Zn2 0.5000 0.0000 0.2415  2 Tl 2.81, 4 Li 2.81-2.87, 2 Pb 2.87
Pb1 0.0000 0.0000 0.5000  4 Li 2.86, 4 Zn 2.87

## Properties
E	-2.25	eV per atom
SG	No. 115


# 4
Material: SrNdZn2S2O2
Method: DFT, PBE-GGA
State: relaxed

a = 4.0071 Å, b = 4.0071 Å, c = 10.8723 Å
α = 90.00°, β = 90.00°, γ = 120.00°
Closest atoms and distances in Å follow each position.
Element x y z (fractional)
Sr1 0.0000 0.0000 0.0000  3 O 2.41
Nd1 0.3333 0.6667 0.4839  3 O 2.41
Zn1 0.6667 0.3333 0.2391  1 O 1.93
Zn2 0.6667 0.3333 0.7297  1 O 1.99
S1 0.0000 0.0000 0.3080  3 Zn 2.43
S2 0.3333 0.6667 0.7840  3 Zn 2.39
O1 0.6667 0.3333 0.0619  1 Zn 1.93
O2 0.6667 0.3333 0.5464  1 Zn 1.99

## Properties
E	-5.13	eV per atom
SG	No. 156


# 5
Material: Sm2Ni2AsP
Method: DFT, PBE-GGA
State: relaxed

a = 4.0111 Å, b = 4.0111 Å, c = 7.9040 Å
α = 90.00°, β = 90.00°, γ = 120.00°
Closest atoms and distances in Å follow each position.
Element x y z (fractional)
Sm1 0.0000 0.0000 0.2430  6 Ni 3.01-3.08, 3 P 3.01, 3 As 3.08
Sm2 0.0000 0.0000 0.7570  6 Ni 3.01-3.08, 3 P 3.01, 3 As 3.08
Ni1 0.3333 0.6667 0.0000  3 P 2.32
Ni2 0.6667 0.3333 0.5000  3 As 2.32
As1 0.3333 0.6667 0.5000  3 Ni 2.32
P1 0.6667 0.3333 0.0000  3 Ni 2.32

## Properties
E	-6.22	eV per atom
SG	No. 187


# 6
Material: PaTaGa
Method: DFT, PBE-GGA
State: relaxed

a = 6.6510 Å, b = 6.6510 Å, c = 6.6510 Å
α = 90.00°, β = 90.00°, γ = 90.00°
Closest atoms and distances in Å follow each position.
Element x y z (fractional)
Pa1 0.0000 0.0000 0.0000  4 Ta 2.88, 4 Ga 2.88
Pa2 0.0000 0.5000 0.5000  4 Ga 2.88, 4 Ta 2.88
Pa3 0.5000 0.0000 0.5000  4 Ga 2.88, 4 Ta 2.88
Pa4 0.5000 0.5000 0.0000  4 Ta 2.88, 4 Ga 2.88
Ta1 0.2500 0.2500 0.2500  4 Pa 2.88
Ta2 0.2500 0.7500 0.7500  4 Pa 2.88
Ta3 0.7500 0.2500 0.7500  4 Pa 2.88
Ta4 0.7500 0.7500 0.2500  4 Pa 2.88
Ga1 0.2500 0.2500 0.7500  4 Pa 2.88
Ga2 0.2500 0.7500 0.2500  4 Pa 2.88
Ga3 0.7500 0.2500 0.2500  4 Pa 2.88
Ga4 0.7500 0.7500 0.7500  4 Pa 2.88

## Properties
E	-7.05	eV per atom
SG	No. 216


# 7
Material: NaMgMo
Method: DFT, PBE-GGA
State: relaxed

a = 6.8426 Å, b = 6.8426 Å, c = 6.8426 Å
α = 90.00°, β = 90.00°, γ = 90.00°
Closest atoms and distances in Å follow each position.
Element x y z (fractional)
Na1 0.0000 0.0000 0.0000  4 Mg 2.96
Na2 0.0000 0.5000 0.5000  4 Mg 2.96
Na3 0.5000 0.0000 0.5000  4 Mg 2.96
Na4 0.5000 0.5000 0.0000  4 Mg 2.96
Mg1 0.2500 0.2500 0.7500  4 Mo 2.96, 4 Na 2.96
Mg2 0.2500 0.7500 0.2500  4 Mo 2.96, 4 Na 2.96
Mg3 0.7500 0.2500 0.2500  4 Mo 2.96, 4 Na 2.96
Mg4 0.7500 0.7500 0.7500  4 Mo 2.96, 4 Na 2.96
Mo1 0.0000 0.0000 0.5000  4 Mg 2.96
Mo2 0.0000 0.5000 0.0000  4 Mg 2.96
Mo3 0.5000 0.0000 0.0000  4 Mg 2.96
Mo4 0.5000 0.5000 0.5000  4 Mg 2.96

## Properties
E above lowest polymorph	0.0000	eV per atom
SG	No. 216


# 8
Material: HfUSn
Method: DFT, PBE-GGA
State: relaxed

a = 7.1066 Å, b = 7.1066 Å, c = 7.1066 Å
α = 90.00°, β = 90.00°, γ = 90.00°
Closest atoms and distances in Å follow each position.
Element x y z (fractional)
Hf1 0.0000 0.0000 0.0000  4 U 3.08
Hf2 0.0000 0.5000 0.5000  4 U 3.08
Hf3 0.5000 0.0000 0.5000  4 U 3.08
Hf4 0.5000 0.5000 0.0000  4 U 3.08
U1 0.2500 0.2500 0.2500  4 Hf 3.08, 4 Sn 3.08
U2 0.2500 0.7500 0.7500  4 Hf 3.08, 4 Sn 3.08
U3 0.7500 0.2500 0.7500  4 Hf 3.08, 4 Sn 3.08
U4 0.7500 0.7500 0.2500  4 Hf 3.08, 4 Sn 3.08
Sn1 0.0000 0.0000 0.5000  4 U 3.08
Sn2 0.0000 0.5000 0.0000  4 U 3.08
Sn3 0.5000 0.0000 0.0000  4 U 3.08
Sn4 0.5000 0.5000 0.5000  4 U 3.08

## Properties
E above lowest polymorph	0.3198	eV per atom
SG	No. 216


# 9
Material: Zr4TlCuC2
Method: DFT, PBE-GGA
State: relaxed

a = 3.3559 Å, b = 3.3559 Å, c = 14.3204 Å
α = 90.00°, β = 90.00°, γ = 120.00°
Closest atoms and distances in Å follow each position.
Element x y z (fractional)
Zr1 0.0000 0.0000 0.1456  3 C 2.34
Zr2 0.0000 0.0000 0.8544  3 C 2.34
Zr3 0.6667 0.3333 0.3232  3 C 2.29
Zr4 0.6667 0.3333 0.6768  3 C 2.29
Tl1 0.0000 0.0000 0.5000  6 Zr 3.19, 6 Tl 3.36
Cu1 0.6667 0.3333 0.0000  6 Zr 2.85
C1 0.3333 0.6667 0.2378  6 Zr 2.29-2.34
C2 0.3333 0.6667 0.7622  6 Zr 2.29-2.34

## Properties
E	-7.83	eV per atom
SG	No. 187


# 10
Material: ZnH20PtC4N4O12
Method: DFT, PBE-GGA
State: relaxed

a = 8.9714 Å, b = 8.9714 Å, c = 8.9714 Å
α = 134.58°, β = 134.52°, γ = 66.23°
Closest atoms and distances in Å follow each position.
Element x y z (fractional)
Zn1 0.0000 0.0000 0.0000  6 O 1.99-2.12
H1 0.0549 0.6907 0.6341  1 O 1.00
H2 0.0566 0.4208 0.3659  1 O 1.00
H3 0.0711 0.6869 0.3858  1 O 1.00
H4 0.2847 0.1090 0.5793  1 N 1.03
H5 0.2913 0.7092 0.1866  1 N 1.03
H6 0.3011 0.6853 0.6142  1 O 1.00
H7 0.3410 0.1927 0.8499  1 N 1.03
H8 0.3428 0.4911 0.1501  1 N 1.03
H9 0.4703 0.8910 0.1757  1 N 1.03
H10 0.4773 0.2908 0.5821  1 N 1.03
H11 0.5227 0.1047 0.8134  1 N 1.03
H12 0.5297 0.7055 0.4207  1 N 1.03
H13 0.6572 0.8073 0.1483  1 N 1.03
H14 0.6590 0.5089 0.8517  1 N 1.03
H15 0.6989 0.3131 0.3842  1 O 1.00
H16 0.7087 0.8953 0.4179  1 N 1.03
H17 0.7153 0.2945 0.8243  1 N 1.03
H18 0.9289 0.3147 0.6158  1 O 1.00
H19 0.9434 0.3093 0.3642  1 O 1.00
H20 0.9451 0.5792 0.6358  1 O 1.00
Pt1 0.5000 0.5000 0.0000  4 N 2.05
C1 0.0711 0.1838 0.8884  2 O 1.25-1.28
C2 0.2954 0.1826 0.1116  2 O 1.25-1.28
C3 0.7046 0.8162 0.8872  2 O 1.25-1.28
C4 0.9289 0.8174 0.1128  2 O 1.25-1.28
N1 0.4023 0.1930 0.7869  3 H 1.03
N2 0.4061 0.6154 0.2131  3 H 1.03
N3 0.5939 0.8070 0.2093  3 H 1.03
N4 0.5977 0.3846 0.7907  3 H 1.03
O1 0.0000 0.2869 0.2869  2 H 1.00
O2 0.0000 0.7131 0.7131  2 H 1.00
O3 0.0674 0.2615 0.8127  1 C 1.25
O4 0.0894 0.8910 0.1961  1 C 1.28
O5 0.1458 0.6458 0.5000  2 H 1.00
O6 0.3051 0.1090 0.1984  1 C 1.28
O7 0.4488 0.2547 0.1873  1 C 1.25
O8 0.5512 0.7385 0.8059  1 C 1.25
O9 0.6949 0.8933 0.8039  1 C 1.28
O10 0.8542 0.3542 0.5000  2 H 1.00
O11 0.9106 0.1067 0.8016  1 C 1.28
O12 0.9326 0.7453 0.1941  1 C 1.25

## Properties
E	-5.70	eV per atom
SG	No. 23


# 11
Material: Ba2IrPb
Method: DFT, PBE-GGA
State: relaxed

a = 7.7587 Å, b = 7.7587 Å, c = 7.7587 Å
α = 90.00°, β = 90.00°, γ = 90.00°
Closest atoms and distances in Å follow each position.
Element x y z (fractional)
Ba1 0.0000 0.0000 0.0000  4 Ba 3.36, 4 Ir 3.36
Ba2 0.0000 0.5000 0.5000  4 Ba 3.36, 4 Ir 3.36
Ba3 0.2500 0.2500 0.2500  4 Pb 3.36, 4 Ba 3.36
Ba4 0.2500 0.7500 0.7500  4 Ba 3.36, 4 Pb 3.36
Ba5 0.5000 0.0000 0.5000  4 Ba 3.36, 4 Ir 3.36
Ba6 0.5000 0.5000 0.0000  4 Ba 3.36, 4 Ir 3.36
Ba7 0.7500 0.2500 0.7500  4 Ba 3.36, 4 Pb 3.36
Ba8 0.7500 0.7500 0.2500  4 Ba 3.36, 4 Pb 3.36
Ir1 0.2500 0.2500 0.7500  4 Ba 3.36, 4 Pb 3.36
Ir2 0.2500 0.7500 0.2500  4 Ba 3.36, 4 Pb 3.36
Ir3 0.7500 0.2500 0.2500  4 Ba 3.36, 4 Pb 3.36
Ir4 0.7500 0.7500 0.7500  4 Ba 3.36, 4 Pb 3.36
Pb1 0.0000 0.0000 0.5000  4 Ir 3.36, 4 Ba 3.36
Pb2 0.0000 0.5000 0.0000  4 Ir 3.36, 4 Ba 3.36
Pb3 0.5000 0.0000 0.0000  4 Ir 3.36, 4 Ba 3.36
Pb4 0.5000 0.5000 0.5000  4 Ir 3.36, 4 Ba 3.36

## Properties
E	-4.01	eV per atom
SG	No. 216


# 12
Material: Ag2SnHgTe2S2
Method: DFT, PBE-GGA
State: relaxed

a = 7.6656 Å, b = 7.5664 Å, c = 6.2199 Å
α = 66.74°, β = 65.07°, γ = 48.20°
Closest atoms and distances in Å follow each position.
Element x y z (fractional)
Ag1 0.0000 0.0000 0.5000  2 S 2.56, 2 Te 2.81
Ag2 0.5000 0.5000 0.0000  2 S 2.56, 2 Te 2.81
Sn1 0.2147 0.2147 0.7853  2 S 2.49
Hg1 0.7236 0.7236 0.2764  2 S 2.75, 2 Te 2.82
Te1 0.1120 0.5979 0.4021  1 Sn 2.79, 2 Ag 2.81, 1 Hg 2.82
Te2 0.5979 0.1120 0.8880  1 Sn 2.79, 2 Ag 2.81, 1 Hg 2.82
S1 0.3358 0.8637 0.6642  1 Sn 2.49, 2 Ag 2.56, 1 Hg 2.75
S2 0.8637 0.3358 0.1363  1 Sn 2.49, 2 Ag 2.56, 1 Hg 2.75

## Properties
E above lowest polymorph	0.0151	eV per atom
SG	No. 42